1.
Material: ReS2ClO9
Method: DFT, PBEsol
State: relaxed

Unit cell a=7.2297 b=7.8707 c=8.1629 alpha=89.61 beta=79.27 gamma=68.29
Element x y z (fractional)
O 0.5189 0.3175 0.1362
O 0.2144 0.2192 0.9549
O 0.8409 0.8528 0.7546
S 0.3406 0.6494 0.7812
O 0.9705 0.5338 0.8302
Re 0.2318 0.3028 0.6982
O 0.4811 0.6825 0.8638
S 0.6594 0.3506 0.2188
Cl 0.0011 0.8153 0.3131
O 0.1221 0.7458 0.9146
O 0.5535 0.8881 0.3525
O 0.6302 0.5555 0.2083
O 0.8779 0.2542 0.0854
O 0.7856 0.7808 0.0451
O 0.4465 0.1119 0.6475
Re 0.7682 0.6972 0.3018
O 0.3106 0.7100 0.6197
O 0.0295 0.4662 0.1698
O 0.7785 0.5878 0.4823
Cl 0.9989 0.1847 0.6869
O 0.1591 0.1472 0.2454
O 0.3698 0.4445 0.7917
O 0.2215 0.4122 0.5177
S 0.9140 0.7306 0.8771
O 0.6894 0.2900 0.3803
S 0.0860 0.2694 0.1229

E_tot (eV per atom): -6.68
Symmetry: P-1

---

2.
Material: InTcBr2
Method: DFT, PBEsol
State: relaxed

Unit cell a=3.1340 b=3.3297 c=9.6314 alpha=90.00 beta=90.00 gamma=118.07
Element x y z (fractional)
Br 0.0000 0.0000 0.7974
In 0.5000 0.0000 0.5000
Tc 0.5000 0.0000 0.0000
Br 0.0000 0.0000 0.2026

ΔE to the lowest computed polymorph (kJ/mol of formula units): 36.7
Symmetry: Cmmm

---

3.
Material: InTc2Sb
Method: DFT, PBEsol
State: relaxed

Unit cell a=4.5469 b=4.5469 c=4.5469 alpha=60.00 beta=60.00 gamma=60.00
Element x y z (fractional)
In 0.0000 0.0000 0.0000
Tc 0.7500 0.7500 0.7500
Tc 0.2500 0.2500 0.2500
Sb 0.5000 0.5000 0.5000

ΔE to the lowest computed polymorph (kJ/mol of formula units): 0.0
Symmetry: Fm-3m

---

4.
Material: TcNi2Au
Method: DFT, PBEsol
State: relaxed

Unit cell a=2.6541 b=2.6541 c=7.3208 alpha=90.00 beta=90.00 gamma=90.00
Element x y z (fractional)
Tc 0.5000 0.5000 0.0000
Ni 0.0000 0.0000 0.7658
Au 0.5000 0.5000 0.5000
Ni 0.0000 0.0000 0.2342

Calculated formation energy (meV/atom): 27
ΔE to the lowest computed polymorph (kJ/mol of formula units): 0.0
Symmetry: P4/mmm

---

Number 1: spin magnetization 0.0 μB per formula unit. Number 2: spin magnetization 0.0 μB per formula unit. Number 3: spin magnetization 0.0 μB per formula unit. Number 4: spin magnetization 0.0 μB per formula unit.